(1)
Here is crystalline BaTe2Pd at its relaxed geometry from Alexandria. Energies are from PBE-GGA.

Results
excess energy over the best structure of this formula in the dataset = 405 meV per atom

Cell lengths 4.1642, 4.1642, 28.7413 Å; angles 90.00, 90.00, 120.00 degrees
Last column: nearest neighbours and their distance in Å.
Space group R-3m (No. 166, hexagonal axes)
Unique sites:
Ba  0.0000  0.0000  0.0000 [3 per cell]  2 Te 3.43
Te  0.0000  0.0000  0.1192 [6 per cell]  3 Pd 2.76
Pd  0.0000  0.0000  0.5000 [3 per cell]  6 Te 2.76

(2)
Here is crystalline Ba12Te3Pd5 at its relaxed geometry from Alexandria. Energies are from PBE-GGA.

Cell lengths 19.4678, 19.4678, 19.4678 Å; angles 90.00, 90.00, 90.00 degrees
Last column: nearest neighbours and their distance in Å.
Space group Ia-3d (No. 230)
Unique sites:
Ba  0.0271  0.0620  0.6491 [96 per cell]  2 Pd 2.99-3.19
Te  0.0000  0.2500  0.1250 [24 per cell]  8 Ba 3.73-3.75
Pd  0.0000  0.0000  0.0000 [16 per cell]  6 Ba 3.19
Pd  0.0000  0.2500  0.3750 [24 per cell]  4 Ba 2.99

(3)
Here is crystalline BaTe2Pd2 at its relaxed geometry from Alexandria. Energies are from PBE-GGA.

Results
excess energy over the best structure of this formula in the dataset = 30 meV per atom

Cell lengths 11.7638, 6.7440, 8.9965 Å; angles 90.00, 130.04, 90.00 degrees
Last column: nearest neighbours and their distance in Å.
Space group C2/c (No. 15)
Unique sites:
Ba  0.0000  0.1180  0.2500 [4 per cell]  6 Te 3.47-3.78, 6 Pd 3.60-3.82
Te  0.1583  0.3358  0.6940 [8 per cell]  4 Pd 2.69-2.73
Pd  0.1332  0.3640  0.9702 [8 per cell]  4 Te 2.69-2.73, 1 Pd 2.88

(4)
Here is crystalline Ba3TePd at its relaxed geometry from Alexandria. Energies are from PBE-GGA.

Results
excess energy over the best structure of this formula in the dataset = 0 meV per atom

Cell lengths 6.1023, 6.1023, 6.1023 Å; angles 90.00, 90.00, 90.00 degrees
Last column: nearest neighbours and their distance in Å.
Space group Pm-3m (No. 221)
Unique sites:
Ba  0.0000  0.0000  0.5000 [3 per cell]  2 Pd 3.05
Te  0.5000  0.5000  0.5000 [1 per cell]  12 Ba 4.31
Pd  0.0000  0.0000  0.0000 [1 per cell]  6 Ba 3.05

(5)
Here is crystalline BaTePd at its relaxed geometry from Alexandria. Energies are from PBE-GGA.

Cell lengths 5.8000, 5.8000, 10.1593 Å; angles 90.00, 90.00, 120.00 degrees
Last column: nearest neighbours and their distance in Å.
Space group P6_3/mmc (No. 194)
Unique sites:
Ba  0.3333  0.6667  0.2500 [2 per cell]  3 Te 3.35
Te  0.0000  0.0000  0.2500 [2 per cell]  2 Pd 2.54
Pd  0.0000  0.0000  0.0000 [2 per cell]  2 Te 2.54

(6)
Here is crystalline Ba4Te2Pd at its relaxed geometry from Alexandria. Energies are from PBE-GGA.

Cell lengths 5.8863, 5.8863, 18.2728 Å; angles 90.00, 90.00, 90.00 degrees
Last column: nearest neighbours and their distance in Å.
Space group I4/mmm (No. 139)
Unique sites:
Ba  0.0000  0.0000  0.1797 [4 per cell]  1 Pd 3.28, 1 Te 3.43
Ba  0.0000  0.5000  0.0000 [4 per cell]  2 Pd 2.94
Te  0.0000  0.0000  0.3676 [4 per cell]  5 Ba 3.43-3.81
Pd  0.0000  0.0000  0.0000 [2 per cell]  6 Ba 2.94-3.28

no.,total DFT energy (no corrections) (Ry per atom),formation energy from raw total energies (kJ/mol of formula units)
1,-0.2706,-128
2,-0.2603,-1195
3,-0.3357,-410
4,-0.2542,-308
5,-0.3034,-205
6,-0.2711,-642